# 1
A plane-wave DFT calculation with PBE was carried out for crystalline VHgS at its relaxed geometry.

abc: 3.2259 3.2259 6.4166
angles: 90.00 90.00 120.00
Closest atoms and distances in Å follow each position.
Space group P3m1 (No. 156)
Symmetry-distinct sites (fractional):
V1 0.0000 0.0000 0.0000  3 S 2.30
Hg1 0.3333 0.6667 0.6574  3 V 2.88, 6 Hg 3.23
S1 0.6667 0.3333 0.2098  3 V 2.30

Values from the calculation:
Total energy   -4.7982 eV/atom
M_tot   1.358 μB per formula unit

=====

# 2
A plane-wave DFT calculation with PBE was carried out for crystalline VHg3S4 at its relaxed geometry.

abc: 9.0390 6.9070 6.8925
angles: 90.00 90.00 90.00
Closest atoms and distances in Å follow each position.
Space group Pmn2_1 (No. 31)
Symmetry-distinct sites (fractional):
V1 0.0000 0.2062 0.0000  4 S 2.18-2.21
Hg1 0.0000 0.8177 0.5172  4 S 2.98-3.12
Hg2 0.2437 0.7037 0.9980  4 S 2.64-2.72
S1 0.0000 0.2372 0.6834  1 V 2.19
S2 0.0000 0.8968 0.0834  1 V 2.21
S3 0.2008 0.3339 0.1192  1 V 2.18

Values from the calculation:
Total energy   -3.5510 eV/atom
M_tot   0.002 μB per formula unit

=====

# 3
A plane-wave DFT calculation with PBE was carried out for crystalline V5Hg3S12 at its relaxed geometry.

abc: 14.9957 14.9957 14.9957
angles: 90.00 90.00 90.00
Closest atoms and distances in Å follow each position.
Space group Ia-3d (No. 230)
Symmetry-distinct sites (fractional):
V1 0.0000 0.0000 0.0000  6 S 2.40
V2 0.0000 0.2500 0.3750  4 S 2.20
Hg1 0.0000 0.2500 0.1250  8 S 3.00-3.01
S1 0.0372 0.0538 0.6459  2 V 2.20-2.40

Values from the calculation:
Total energy   -5.2134 eV/atom
M_tot   4.780 μB per formula unit